Compound: Ca3Hg13
Source: the Alexandria database
Functional: PBE
Structure: optimized geometry

## Properties
DFT total energy ... -0.90 eV per atom
Symmetry ... Amm2, No. 38
Volume ... 411.99 Å³ per cell
Formation enthalpy at 0 K ... -0.28 eV per atom
DOS at the Fermi energy ... 6.4 states/eV/cell

Structure (extended XYZ):
```
16
Lattice="10.547 0.000 0.000 0.000 3.425 5.702 0.000 -3.425 5.702" Properties=species:S:1:pos:R:3 pbc="T T T"
Ca 0.000 0.000 0.000
Ca 2.625 0.000 7.682
Ca 7.922 0.000 7.682
Hg 0.000 -1.689 2.911
Hg 0.000 1.689 2.911
Hg 0.000 0.000 5.729
Hg 2.575 0.000 1.988
Hg 2.649 -1.696 4.829
Hg 2.649 1.696 4.829
Hg 5.273 -1.904 7.650
Hg 5.273 0.000 5.100
Hg 5.273 0.000 10.148
Hg 5.273 1.904 7.650
Hg 7.898 -1.696 4.829
Hg 7.898 1.696 4.829
Hg 7.972 0.000 1.988
```